Material: SmUVO6
Method: DFT, PBE+U
State: relaxed

```
SmUVO6
1.0
5.699 0.000 0.000
-2.850 4.936 0.000
0.000 0.000 8.730
Sm U V O
2 2 2 12
Cartesian
0.000 3.290 2.183
2.850 1.645 6.548
0.000 3.290 6.548
2.850 1.645 2.183
0.000 0.000 0.000
0.000 0.000 4.365
-0.770 1.670 5.451
-1.788 3.433 7.644
0.770 1.670 7.644
-1.018 4.767 5.451
1.832 0.168 1.086
1.062 1.502 3.279
1.788 3.433 5.451
1.018 4.767 7.644
3.867 0.168 3.279
2.079 3.265 1.086
4.637 1.502 1.086
3.620 3.265 3.279
```

Properties
uncorrected energy: -155.539 eV/cell
space-group type: P-31c, No. 163